No. 1
# LaGdGeRh PBE-GGA relaxed
data_LaGdGeRh
_symmetry_space_group_name_H-M 'P 1'
_symmetry_Int_Tables_number 1
_cell_length_a 5.113
_cell_length_b 5.113
_cell_length_c 5.113
_cell_angle_alpha 60.00
_cell_angle_beta 60.00
_cell_angle_gamma 60.00
loop_
_symmetry_equiv_pos_as_xyz
'x,y,z'
loop_
_atom_site_label
_atom_site_type_symbol
_atom_site_fract_x
_atom_site_fract_y
_atom_site_fract_z
Ge1 Ge 0.250 0.250 0.250
Gd1 Gd 0.000 0.000 0.000
Rh1 Rh 0.750 0.750 0.750
La1 La 0.500 0.500 0.500
# calculated total energy	-0.617	Ry/atom
# energy of formation from the pure elements	-0.651	eV per atom

---

No. 2
# TbPrHo2Er2 PBE-GGA relaxed
data_TbPrHo2Er2
_symmetry_space_group_name_H-M 'P 1'
_symmetry_Int_Tables_number 1
_cell_length_a 3.388
_cell_length_b 6.555
_cell_length_c 17.703
_cell_angle_alpha 90.00
_cell_angle_beta 90.00
_cell_angle_gamma 90.00
loop_
_symmetry_equiv_pos_as_xyz
'x,y,z'
loop_
_atom_site_label
_atom_site_type_symbol
_atom_site_fract_x
_atom_site_fract_y
_atom_site_fract_z
Tb1 Tb 0.500 0.500 0.000
Tb2 Tb 0.000 0.000 0.500
Pr1 Pr 0.000 0.000 0.000
Pr2 Pr 0.500 0.500 0.500
Ho1 Ho 0.500 0.779 0.350
Ho2 Ho 0.500 0.221 0.650
Ho3 Ho 0.000 0.721 0.850
Ho4 Ho 0.000 0.279 0.150
Er1 Er 0.500 0.276 0.315
Er2 Er 0.000 0.776 0.185
Er3 Er 0.500 0.724 0.685
Er4 Er 0.000 0.224 0.815
# calculated total energy	-0.318	Ry/atom
# energy of formation from the pure elements	0.282	eV per atom

---

No. 3
# Pm3Ni4Sn2 PBE-GGA relaxed
data_Pm3Ni4Sn2
_symmetry_space_group_name_H-M 'P 1'
_symmetry_Int_Tables_number 1
_cell_length_a 4.308
_cell_length_b 5.535
_cell_length_c 8.520
_cell_angle_alpha 95.75
_cell_angle_beta 90.00
_cell_angle_gamma 112.90
loop_
_symmetry_equiv_pos_as_xyz
'x,y,z'
loop_
_atom_site_label
_atom_site_type_symbol
_atom_site_fract_x
_atom_site_fract_y
_atom_site_fract_z
Pm1 Pm 0.373 0.746 0.619
Pm2 Pm 0.000 0.000 0.000
Pm3 Pm 0.627 0.254 0.381
Ni1 Ni 0.735 0.469 0.082
Ni2 Ni 0.076 0.153 0.622
Ni3 Ni 0.924 0.847 0.378
Ni4 Ni 0.265 0.531 0.918
Sn1 Sn 0.328 0.657 0.219
Sn2 Sn 0.672 0.343 0.781
# calculated total energy	-0.407	Ry/atom
# energy of formation from the pure elements	-0.498	eV per atom

---

No. 4
# CePaSi2 PBE-GGA relaxed
data_CePaSi2
_symmetry_space_group_name_H-M 'P 1'
_symmetry_Int_Tables_number 1
_cell_length_a 3.235
_cell_length_b 3.235
_cell_length_c 8.050
_cell_angle_alpha 90.00
_cell_angle_beta 90.00
_cell_angle_gamma 90.00
loop_
_symmetry_equiv_pos_as_xyz
'x,y,z'
loop_
_atom_site_label
_atom_site_type_symbol
_atom_site_fract_x
_atom_site_fract_y
_atom_site_fract_z
Si1 Si 0.000 0.000 0.756
Si2 Si 0.000 0.000 0.244
Pa1 Pa 0.500 0.500 0.000
Ce1 Ce 0.500 0.500 0.500
# ΔE_f (raw)	-1.6	eV/f.u.
# calculated total energy	-0.513	Ry/atom
# distance to the lowest polymorph of the same formula	116	meV per atom

---

No. 5
# K2LiIr PBE-GGA relaxed
data_K2LiIr
_symmetry_space_group_name_H-M 'P 1'
_symmetry_Int_Tables_number 1
_cell_length_a 5.173
_cell_length_b 5.173
_cell_length_c 5.173
_cell_angle_alpha 60.00
_cell_angle_beta 60.00
_cell_angle_gamma 60.00
loop_
_symmetry_equiv_pos_as_xyz
'x,y,z'
loop_
_atom_site_label
_atom_site_type_symbol
_atom_site_fract_x
_atom_site_fract_y
_atom_site_fract_z
Ir1 Ir 0.500 0.500 0.500
K1 K 0.000 0.000 0.000
K2 K 0.250 0.250 0.250
Li1 Li 0.750 0.750 0.750
# calculated total energy	-0.192	Ry/atom
# energy of formation from the pure elements	0.630	eV per atom
# distance to the lowest polymorph of the same formula	212	meV per atom

---

No. 6
# PaH2Ru PBE-GGA relaxed
data_PaH2Ru
_symmetry_space_group_name_H-M 'P 1'
_symmetry_Int_Tables_number 1
_cell_length_a 3.154
_cell_length_b 3.154
_cell_length_c 5.924
_cell_angle_alpha 74.56
_cell_angle_beta 74.56
_cell_angle_gamma 60.00
loop_
_symmetry_equiv_pos_as_xyz
'x,y,z'
loop_
_atom_site_label
_atom_site_type_symbol
_atom_site_fract_x
_atom_site_fract_y
_atom_site_fract_z
Ru1 Ru 0.000 0.000 0.000
Pa1 Pa 0.500 0.500 0.500
H1 H 0.098 0.098 0.707
H2 H 0.902 0.902 0.293
# calculated total energy	-0.459	Ry/atom

---

No. 7
# CdClF2 PBE-GGA relaxed
data_CdClF2
_symmetry_space_group_name_H-M 'P 1'
_symmetry_Int_Tables_number 1
_cell_length_a 9.285
_cell_length_b 9.285
_cell_length_c 9.285
_cell_angle_alpha 21.57
_cell_angle_beta 21.57
_cell_angle_gamma 21.57
loop_
_symmetry_equiv_pos_as_xyz
'x,y,z'
loop_
_atom_site_label
_atom_site_type_symbol
_atom_site_fract_x
_atom_site_fract_y
_atom_site_fract_z
F1 F 0.872 0.872 0.872
F2 F 0.128 0.128 0.128
Cl1 Cl 0.000 0.000 0.000
Cd1 Cd 0.500 0.500 0.500
# ΔE_f (raw)	-5.3	eV/f.u.
# calculated total energy	-0.217	Ry/atom
# distance to the lowest polymorph of the same formula	265	meV per atom

---

No. 8
# VNi2Rh2 PBE-GGA relaxed
data_VNi2Rh2
_symmetry_space_group_name_H-M 'P 1'
_symmetry_Int_Tables_number 1
_cell_length_a 4.130
_cell_length_b 4.130
_cell_length_c 9.299
_cell_angle_alpha 90.00
_cell_angle_beta 90.00
_cell_angle_gamma 120.00
loop_
_symmetry_equiv_pos_as_xyz
'x,y,z'
loop_
_atom_site_label
_atom_site_type_symbol
_atom_site_fract_x
_atom_site_fract_y
_atom_site_fract_z
V1 V 0.000 0.000 0.250
V2 V 0.000 0.000 0.750
Ni1 Ni 0.333 0.667 0.607
Ni2 Ni 0.667 0.333 0.107
Ni3 Ni 0.667 0.333 0.393
Ni4 Ni 0.333 0.667 0.893
Rh1 Rh 0.667 0.333 0.750
Rh2 Rh 0.000 0.000 0.000
Rh3 Rh 0.000 0.000 0.500
Rh4 Rh 0.333 0.667 0.250
# calculated total energy	-0.512	Ry/atom
# energy of formation from the pure elements	0.117	eV per atom
# distance to the lowest polymorph of the same formula	292	meV per atom

---

No. 9
# MgTiIrAu PBE-GGA relaxed
data_MgTiIrAu
_symmetry_space_group_name_H-M 'P 1'
_symmetry_Int_Tables_number 1
_cell_length_a 4.509
_cell_length_b 4.509
_cell_length_c 4.509
_cell_angle_alpha 60.00
_cell_angle_beta 60.00
_cell_angle_gamma 60.00
loop_
_symmetry_equiv_pos_as_xyz
'x,y,z'
loop_
_atom_site_label
_atom_site_type_symbol
_atom_site_fract_x
_atom_site_fract_y
_atom_site_fract_z
Mg1 Mg 0.750 0.750 0.750
Ir1 Ir 0.000 0.000 0.000
Au1 Au 0.500 0.500 0.500
Ti1 Ti 0.250 0.250 0.250
# calculated total energy	-0.435	Ry/atom
# energy of formation from the pure elements	-0.511	eV per atom

---

No. 10
# SmDyCoCu PBE-GGA relaxed
data_SmDyCoCu
_symmetry_space_group_name_H-M 'P 1'
_symmetry_Int_Tables_number 1
_cell_length_a 3.840
_cell_length_b 4.281
_cell_length_c 5.480
_cell_angle_alpha 90.00
_cell_angle_beta 110.51
_cell_angle_gamma 90.00
loop_
_symmetry_equiv_pos_as_xyz
'x,y,z'
loop_
_atom_site_label
_atom_site_type_symbol
_atom_site_fract_x
_atom_site_fract_y
_atom_site_fract_z
Sm1 Sm 0.143 0.000 0.286
Dy1 Dy 0.862 0.500 0.725
Co1 Co 0.428 0.000 0.856
Cu1 Cu 0.567 0.500 0.133
# calculated total energy	-0.390	Ry/atom
# energy of formation from the pure elements	-0.177	eV per atom
# distance to the lowest polymorph of the same formula	0	meV per atom

---

No. 11
# DyTh2Os PBE-GGA relaxed
data_DyTh2Os
_symmetry_space_group_name_H-M 'P 1'
_symmetry_Int_Tables_number 1
_cell_length_a 3.654
_cell_length_b 3.654
_cell_length_c 8.201
_cell_angle_alpha 90.00
_cell_angle_beta 90.00
_cell_angle_gamma 90.00
loop_
_symmetry_equiv_pos_as_xyz
'x,y,z'
loop_
_atom_site_label
_atom_site_type_symbol
_atom_site_fract_x
_atom_site_fract_y
_atom_site_fract_z
Os1 Os 0.500 0.500 0.000
Th1 Th 0.000 0.000 0.799
Th2 Th 0.000 0.000 0.201
Dy1 Dy 0.500 0.500 0.500
# calculated total energy	-0.563	Ry/atom
# energy of formation from the pure elements	0.005	eV per atom
# distance to the lowest polymorph of the same formula	231	meV per atom

---

No. 12
# La2Mg3Cd6 PBE-GGA relaxed
data_La2Mg3Cd6
_symmetry_space_group_name_H-M 'P 1'
_symmetry_Int_Tables_number 1
_cell_length_a 4.584
_cell_length_b 8.357
_cell_length_c 8.357
_cell_angle_alpha 112.18
_cell_angle_beta 90.00
_cell_angle_gamma 90.00
loop_
_symmetry_equiv_pos_as_xyz
'x,y,z'
loop_
_atom_site_label
_atom_site_type_symbol
_atom_site_fract_x
_atom_site_fract_y
_atom_site_fract_z
La1 La 0.000 0.330 0.670
La2 La 0.000 0.670 0.330
Mg1 Mg 0.000 0.186 0.186
Mg2 Mg 0.000 0.814 0.814
Mg3 Mg 0.500 0.000 0.000
Cd1 Cd 0.500 0.354 0.354
Cd2 Cd 0.500 0.646 0.646
Cd3 Cd 0.500 0.995 0.334
Cd4 Cd 0.500 0.005 0.666
Cd5 Cd 0.500 0.334 0.995
Cd6 Cd 0.500 0.666 0.005
# calculated total energy	-0.143	Ry/atom
# energy of formation from the pure elements	-0.111	eV per atom

---

No. 13
# NdMgTlBr6 PBE-GGA relaxed
data_NdMgTlBr6
_symmetry_space_group_name_H-M 'P 1'
_symmetry_Int_Tables_number 1
_cell_length_a 7.313
_cell_length_b 7.313
_cell_length_c 14.468
_cell_angle_alpha 90.00
_cell_angle_beta 90.00
_cell_angle_gamma 120.00
loop_
_symmetry_equiv_pos_as_xyz
'x,y,z'
loop_
_atom_site_label
_atom_site_type_symbol
_atom_site_fract_x
_atom_site_fract_y
_atom_site_fract_z
Nd1 Nd 0.667 0.333 0.250
Nd2 Nd 0.333 0.667 0.750
Mg1 Mg 0.333 0.667 0.250
Mg2 Mg 0.667 0.333 0.750
Tl1 Tl 0.000 0.000 0.000
Tl2 Tl 0.000 0.000 0.500
Br1 Br 0.619 0.639 0.139
Br2 Br 0.020 0.381 0.139
Br3 Br 0.381 0.020 0.639
Br4 Br 0.980 0.619 0.861
Br5 Br 0.361 0.381 0.361
Br6 Br 0.020 0.639 0.361
Br7 Br 0.639 0.020 0.861
Br8 Br 0.619 0.980 0.361
Br9 Br 0.980 0.361 0.639
Br10 Br 0.361 0.980 0.139
Br11 Br 0.639 0.619 0.639
Br12 Br 0.381 0.361 0.861
# ΔE_f (raw)	-13.7	eV/f.u.
# calculated total energy	-0.265	Ry/atom

---

No. 14
# TcHg2Cl PBE-GGA relaxed
data_TcHg2Cl
_symmetry_space_group_name_H-M 'P 1'
_symmetry_Int_Tables_number 1
_cell_length_a 9.017
_cell_length_b 9.017
_cell_length_c 9.017
_cell_angle_alpha 20.94
_cell_angle_beta 20.94
_cell_angle_gamma 20.94
loop_
_symmetry_equiv_pos_as_xyz
'x,y,z'
loop_
_atom_site_label
_atom_site_type_symbol
_atom_site_fract_x
_atom_site_fract_y
_atom_site_fract_z
Cl1 Cl 0.750 0.750 0.750
Hg1 Hg 0.997 0.997 0.997
Hg2 Hg 0.503 0.503 0.503
Tc1 Tc 0.250 0.250 0.250
# ΔE_f (raw)	1.6	eV/f.u.
# calculated total energy	-0.205	Ry/atom
# distance to the lowest polymorph of the same formula	201	meV per atom

---

No. 15
# CrGaAs PBE-GGA relaxed
data_CrGaAs
_symmetry_space_group_name_H-M 'P 1'
_symmetry_Int_Tables_number 1
_cell_length_a 3.016
_cell_length_b 3.016
_cell_length_c 6.057
_cell_angle_alpha 90.00
_cell_angle_beta 90.00
_cell_angle_gamma 120.00
loop_
_symmetry_equiv_pos_as_xyz
'x,y,z'
loop_
_atom_site_label
_atom_site_type_symbol
_atom_site_fract_x
_atom_site_fract_y
_atom_site_fract_z
Cr1 Cr 0.667 0.333 0.307
As1 As 0.333 0.667 0.574
Ga1 Ga 0.333 0.667 0.992
# calculated total energy	-0.426	Ry/atom
# energy of formation from the pure elements	-0.032	eV per atom
# distance to the lowest polymorph of the same formula	86	meV per atom

---

No. 16
# Zr3C PBE-GGA relaxed
data_Zr3C
_symmetry_space_group_name_H-M 'P 1'
_symmetry_Int_Tables_number 1
_cell_length_a 5.627
_cell_length_b 6.157
_cell_length_c 8.324
_cell_angle_alpha 90.00
_cell_angle_beta 90.00
_cell_angle_gamma 90.00
loop_
_symmetry_equiv_pos_as_xyz
'x,y,z'
loop_
_atom_site_label
_atom_site_type_symbol
_atom_site_fract_x
_atom_site_fract_y
_atom_site_fract_z
C1 C 0.554 0.859 0.750
C2 C 0.054 0.641 0.250
C3 C 0.946 0.359 0.750
C4 C 0.446 0.141 0.250
Zr1 Zr 0.189 0.041 0.750
Zr2 Zr 0.689 0.459 0.250
Zr3 Zr 0.311 0.541 0.750
Zr4 Zr 0.811 0.959 0.250
Zr5 Zr 0.663 0.179 0.932
Zr6 Zr 0.163 0.321 0.068
Zr7 Zr 0.837 0.679 0.568
Zr8 Zr 0.337 0.821 0.432
Zr9 Zr 0.337 0.821 0.068
Zr10 Zr 0.837 0.679 0.932
Zr11 Zr 0.163 0.321 0.432
Zr12 Zr 0.663 0.179 0.568
# calculated total energy	-0.655	Ry/atom
# energy of formation from the pure elements	-0.196	eV per atom
# distance to the lowest polymorph of the same formula	202	meV per atom

---

No. 17
# La2GaSe PBE-GGA relaxed
data_La2GaSe
_symmetry_space_group_name_H-M 'P 1'
_symmetry_Int_Tables_number 1
_cell_length_a 4.271
_cell_length_b 4.460
_cell_length_c 12.268
_cell_angle_alpha 100.47
_cell_angle_beta 90.00
_cell_angle_gamma 90.00
loop_
_symmetry_equiv_pos_as_xyz
'x,y,z'
loop_
_atom_site_label
_atom_site_type_symbol
_atom_site_fract_x
_atom_site_fract_y
_atom_site_fract_z
La1 La 0.750 0.684 0.367
La2 La 0.250 0.316 0.633
La3 La 0.750 0.934 0.868
La4 La 0.250 0.066 0.132
Ga1 Ga 0.250 0.465 0.930
Ga2 Ga 0.750 0.535 0.070
Se1 Se 0.250 0.191 0.382
Se2 Se 0.750 0.809 0.618
# ΔE_f (raw)	-5.2	eV/f.u.
# calculated total energy	-0.396	Ry/atom
# distance to the lowest polymorph of the same formula	0	meV per atom

---

No. 18
# VTe3 PBE-GGA relaxed
data_VTe3
_symmetry_space_group_name_H-M 'P 1'
_symmetry_Int_Tables_number 1
_cell_length_a 6.770
_cell_length_b 6.770
_cell_length_c 6.729
_cell_angle_alpha 59.80
_cell_angle_beta 59.80
_cell_angle_gamma 60.00
loop_
_symmetry_equiv_pos_as_xyz
'x,y,z'
loop_
_atom_site_label
_atom_site_type_symbol
_atom_site_fract_x
_atom_site_fract_y
_atom_site_fract_z
V1 V 0.000 0.000 0.000
V2 V 0.500 0.500 0.500
Te1 Te 0.750 0.431 0.750
Te2 Te 0.431 0.069 0.750
Te3 Te 0.069 0.750 0.750
Te4 Te 0.250 0.569 0.250
Te5 Te 0.569 0.931 0.250
Te6 Te 0.931 0.250 0.250
# ΔE_f (raw)	-0.2	eV/f.u.
# calculated total energy	-0.345	Ry/atom

---

No. 19
# PmSm12Tm7 PBE-GGA relaxed
data_PmSm12Tm7
_symmetry_space_group_name_H-M 'P 1'
_symmetry_Int_Tables_number 1
_cell_length_a 6.705
_cell_length_b 11.063
_cell_length_c 11.063
_cell_angle_alpha 63.97
_cell_angle_beta 78.35
_cell_angle_gamma 101.65
loop_
_symmetry_equiv_pos_as_xyz
'x,y,z'
loop_
_atom_site_label
_atom_site_type_symbol
_atom_site_fract_x
_atom_site_fract_y
_atom_site_fract_z
Pm1 Pm 0.000 0.000 0.000
Sm1 Sm 0.703 0.455 0.068
Sm2 Sm 0.230 0.932 0.523
Sm3 Sm 0.203 0.210 0.210
Sm4 Sm 0.586 0.790 0.420
Sm5 Sm 0.752 0.523 0.545
Sm6 Sm 0.007 0.420 0.790
Sm7 Sm 0.993 0.580 0.210
Sm8 Sm 0.248 0.477 0.455
Sm9 Sm 0.414 0.210 0.580
Sm10 Sm 0.797 0.790 0.790
Sm11 Sm 0.770 0.068 0.477
Sm12 Sm 0.297 0.545 0.932
Tm1 Tm 0.695 0.136 0.168
Tm2 Tm 0.138 0.832 0.303
Tm3 Tm 0.441 0.303 0.864
Tm4 Tm 0.500 0.000 0.000
Tm5 Tm 0.559 0.697 0.136
Tm6 Tm 0.862 0.168 0.697
Tm7 Tm 0.305 0.864 0.832
# calculated total energy	-0.318	Ry/atom
# energy of formation from the pure elements	0.303	eV per atom
# distance to the lowest polymorph of the same formula	200	meV per atom

---

No. 20
# HoAlAgAu PBE-GGA relaxed
data_HoAlAgAu
_symmetry_space_group_name_H-M 'P 1'
_symmetry_Int_Tables_number 1
_cell_length_a 4.809
_cell_length_b 4.809
_cell_length_c 4.809
_cell_angle_alpha 60.00
_cell_angle_beta 60.00
_cell_angle_gamma 60.00
loop_
_symmetry_equiv_pos_as_xyz
'x,y,z'
loop_
_atom_site_label
_atom_site_type_symbol
_atom_site_fract_x
_atom_site_fract_y
_atom_site_fract_z
Au1 Au 0.750 0.750 0.750
Ho1 Ho 0.000 0.000 0.000
Ag1 Ag 0.250 0.250 0.250
Al1 Al 0.500 0.500 0.500
# calculated total energy	-0.305	Ry/atom
# energy of formation from the pure elements	-0.540	eV per atom